No. 1
A plane-wave DFT calculation with PBE-GGA was carried out for a relaxed FeCoTe2I crystal.

As for the size of the total moment: 2.5 μB/f.u. The uncorrected formation energy is 0.96 eV/atom. The value obtained for the relative energy among the computed polymorphs is 128 meV per atom. The calculation puts the final energy at -0.137 hartree per atom.

Cell lengths 4.892, 4.892, 5.597 Å; angles 90.00, 90.00, 90.00 degrees
Each line ends with the local moment (μB).
Element x y z (fractional)
I 0.000 0.000 0.500  0.04
Te 0.000 0.500 0.000  0.04
Te 0.500 0.000 0.000  0.04
Co 0.500 0.500 0.500  2.16
Fe 0.000 0.000 0.000  0.05

---

No. 2
A plane-wave DFT calculation with PBE-GGA was carried out for a relaxed FeCoTe2I crystal.

As for the size of the total moment: 3.4 μB/f.u. The uncorrected formation energy is 0.83 eV/atom. The value obtained for the relative energy among the computed polymorphs is 0 meV per atom. The calculation puts the final energy at -0.142 hartree per atom.

Cell lengths 4.977, 4.977, 5.326 Å; angles 90.00, 90.00, 90.00 degrees
Each line ends with the local moment (μB).
Element x y z (fractional)
I 0.000 0.000 0.500  0.05
Te 0.000 0.500 0.000  0.02
Te 0.500 0.000 0.000  0.02
Co 0.000 0.000 0.000  -0.31
Fe 0.500 0.500 0.500  3.35

---

No. 3
A plane-wave DFT calculation with PBE-GGA was carried out for a relaxed Zr2FeCoI crystal.

As for the size of the total moment: 0.0 μB/f.u. The uncorrected formation energy is 0.98 eV/atom. The calculation puts the final energy at -0.215 hartree per atom.

Cell lengths 4.820, 4.648, 4.820 Å; angles 90.00, 90.00, 90.00 degrees
Element x y z (fractional)
I 0.000 0.500 0.000
Co 0.000 0.000 0.000
Fe 0.500 0.500 0.500
Zr 0.000 0.000 0.500
Zr 0.500 0.000 0.000

---

No. 4
A plane-wave DFT calculation with PBE-GGA was carried out for a relaxed In2FeCo crystal.

The calculated formation energy comes out at 0.45 eV/atom. As for the size of the total moment: 4.0 μB/f.u. The calculation puts the final energy at -0.177 hartree per atom.

Cell lengths 4.553, 4.553, 4.553 Å; angles 60.00, 60.00, 60.00 degrees
Each line ends with the local moment (μB).
Element x y z (fractional)
Co 0.500 0.500 0.500  1.40
Fe 0.750 0.750 0.750  2.66
In 0.000 0.000 0.000  -0.01
In 0.250 0.250 0.250  -0.01

---

No. 5
A plane-wave DFT calculation with PBE-GGA was carried out for a relaxed InFeCo2 crystal.

The calculated formation energy comes out at 0.33 eV/atom. As for the size of the total moment: 5.6 μB/f.u. The calculation puts the final energy at -0.221 hartree per atom.

Cell lengths 8.187, 8.187, 8.187 Å; angles 20.02, 20.02, 20.02 degrees
Each line ends with the local moment (μB).
Element x y z (fractional)
Co 0.991 0.991 0.991  1.43
Co 0.509 0.509 0.509  1.43
Fe 0.250 0.250 0.250  2.84
In 0.750 0.750 0.750  -0.06

---

No. 6
A plane-wave DFT calculation with PBE-GGA was carried out for a relaxed In4FeCo crystal.

The calculated formation energy comes out at 0.92 eV/atom. As for the size of the total moment: 4.7 μB/f.u. The calculation puts the final energy at -0.129 hartree per atom.

Cell lengths 5.759, 5.759, 5.759 Å; angles 60.00, 60.00, 60.00 degrees
Each line ends with the local moment (μB).
Element x y z (fractional)
In 0.875 0.375 0.375  0.00
In 0.375 0.375 0.875  0.00
In 0.375 0.875 0.375  0.00
In 0.375 0.375 0.375  0.00
Fe 0.000 0.000 0.000  3.04
Co 0.750 0.750 0.750  1.77

---

No. 7
A plane-wave DFT calculation with PBE-GGA was carried out for a relaxed InFeCo2 crystal.

The calculated formation energy comes out at 0.16 eV/atom. As for the size of the total moment: 5.6 μB/f.u. The calculation puts the final energy at -0.228 hartree per atom.

Cell lengths 4.935, 4.935, 4.174 Å; angles 64.44, 64.44, 36.81 degrees
Each line ends with the local moment (μB).
Element x y z (fractional)
Co 0.012 0.012 0.989  1.60
Co 0.757 0.757 0.744  1.46
Fe 0.483 0.483 0.515  2.73
In 0.248 0.248 0.252  -0.08

---

No. 8
A plane-wave DFT calculation with PBE-GGA was carried out for a relaxed In2FeCo crystal.

The calculated formation energy comes out at 0.23 eV/atom. As for the size of the total moment: 3.4 μB/f.u. The calculation puts the final energy at -0.185 hartree per atom.

Cell lengths 4.144, 3.186, 5.333 Å; angles 72.72, 90.00, 90.00 degrees
Each line ends with the local moment (μB).
Element x y z (fractional)
Co 0.000 0.686 0.506  1.22
Fe 0.500 0.564 0.745  2.38
In 0.000 0.965 0.944  -0.08
In 0.500 0.285 0.305  -0.08

---

No. 9
A plane-wave DFT calculation with PBE-GGA was carried out for a relaxed InFe2Co crystal.

The calculated formation energy comes out at 0.17 eV/atom. As for the size of the total moment: 6.1 μB/f.u. The calculation puts the final energy at -0.240 hartree per atom.

Cell lengths 3.713, 3.709, 3.957 Å; angles 90.00, 90.00, 90.00 degrees
Each line ends with the local moment (μB).
Element x y z (fractional)
Co 0.000 0.500 0.500  1.21
Fe 0.000 0.000 0.000  2.53
Fe 0.500 0.500 0.000  2.52
In 0.500 0.000 0.500  -0.13

---

No. 10
A plane-wave DFT calculation with PBE-GGA was carried out for a relaxed In2FeCo crystal.

The calculated formation energy comes out at 0.22 eV/atom. As for the size of the total moment: 3.7 μB/f.u. The calculation puts the final energy at -0.185 hartree per atom.

Cell lengths 5.363, 5.363, 4.553 Å; angles 71.23, 71.23, 32.68 degrees
Each line ends with the local moment (μB).
Element x y z (fractional)
Co 0.529 0.529 0.501  1.31
Fe 0.217 0.217 0.253  2.49
In 0.983 0.983 0.040  -0.04
In 0.771 0.771 0.707  -0.06

---

No. 11
A plane-wave DFT calculation with PBE-GGA was carried out for a relaxed InFeCo2 crystal.

The calculated formation energy comes out at 0.05 eV/atom. As for the size of the total moment: 5.1 μB/f.u. The calculation puts the final energy at -0.232 hartree per atom.

Cell lengths 2.968, 2.966, 6.076 Å; angles 90.00, 90.00, 90.00 degrees
Each line ends with the local moment (μB).
Element x y z (fractional)
Co 0.000 0.000 0.034  1.22
Co 0.000 0.000 0.466  1.22
Fe 0.500 0.500 0.250  2.82
In 0.500 0.500 0.750  -0.06

---

No. 12
A plane-wave DFT calculation with PBE-GGA was carried out for a relaxed InFe2Co crystal.

The calculated formation energy comes out at 0.17 eV/atom. As for the size of the total moment: 6.6 μB/f.u. The calculation puts the final energy at -0.240 hartree per atom.

Cell lengths 2.893, 3.377, 5.717 Å; angles 90.00, 90.00, 90.00 degrees
Each line ends with the local moment (μB).
Element x y z (fractional)
Co 0.500 0.500 0.750  1.69
Fe 0.000 0.000 0.954  2.51
Fe 0.000 0.000 0.546  2.51
In 0.500 0.500 0.250  -0.09